(1)
DFT (PBE-GGA) results for a relaxed structure of Sr2Mg4Cd3In.

Computed properties:
The symmetry is P-4m2, No. 115. The total energy is -1.73 eV per atom. As for the crystal system: tetragonal.

Cell lengths 4.703, 4.703, 12.665 Å; angles 90.00, 90.00, 90.00 degrees
Atoms (fractional coordinates):
Cd: 0.000 0.000 0.500
Cd: 0.000 0.500 0.141
Cd: 0.500 0.000 0.859
Sr: 0.000 0.500 0.747
Sr: 0.500 0.000 0.253
Mg: 0.500 0.000 0.636
Mg: 0.500 0.500 0.000
Mg: 0.000 0.000 0.000
Mg: 0.000 0.500 0.364
In: 0.500 0.500 0.500

---

(2)
DFT (PBE-GGA) results for a relaxed structure of SrMg4CdIn2.

Computed properties:
The symmetry is R-3m, No. 166. The total energy is -1.94 eV per atom. As for the crystal system: trigonal.

Cell lengths 5.076, 5.076, 9.618 Å; angles 74.70, 74.70, 60.00 degrees
Atoms (fractional coordinates):
Sr: 0.000 0.000 0.000
Mg: 0.396 0.396 0.812
Mg: 0.132 0.132 0.605
Mg: 0.604 0.604 0.188
Mg: 0.868 0.868 0.395
In: 0.257 0.257 0.229
In: 0.743 0.743 0.771
Cd: 0.500 0.500 0.500

---

(3)
DFT (PBE-GGA) results for a relaxed structure of Sr2MgCd6In.

Computed properties:
The symmetry is P-1, No. 2. The total energy is -1.50 eV per atom. As for the crystal system: triclinic.

Cell lengths 10.965, 5.897, 7.578 Å; angles 66.87, 43.65, 90.52 degrees
Atoms (fractional coordinates):
Cd: 0.190 0.180 0.130
Cd: 0.810 0.820 0.870
Cd: 0.805 0.315 0.875
Cd: 0.564 0.748 0.504
Cd: 0.195 0.685 0.125
Cd: 0.436 0.252 0.496
Sr: 0.749 0.257 0.486
Sr: 0.251 0.743 0.514
Mg: 0.500 0.500 0.000
In: 0.000 0.000 0.000